LiLa2SeO6: relaxed, PBE-GGA.

Geometry as CIF:
```
data_LiLa2SeO6
_chemical_formula_sum 'Li2 La4 Se2 O12'
_space_group_name_H-M_alt 'P -1'
_space_group_IT_number 2
_cell_length_a 5.610
_cell_length_b 5.722
_cell_length_c 7.903
_cell_angle_alpha 89.75
_cell_angle_beta 89.76
_cell_angle_gamma 89.59
loop_
_space_group_symop_operation_xyz
'x,y,z'
'-x,-y,-z'
loop_
_atom_site_label
_atom_site_fract_x
_atom_site_fract_y
_atom_site_fract_z
_atom_site_occupancy
Li1 0.000 0.000 0.000 1
Li2 0.500 0.500 0.500 1
La1 0.000 0.454 0.241 1
La2 0.483 0.949 0.243 1
Se1 0.000 0.000 0.500 1
Se2 0.500 0.500 0.000 1
O1 0.088 0.980 0.723 1
O2 0.186 0.741 0.451 1
O3 0.198 0.696 0.037 1
O4 0.255 0.190 0.453 1
O5 0.304 0.202 0.042 1
O6 0.421 0.474 0.746 1
```

Computed properties:
The value obtained for the uncorrected formation energy is -2.306 eV per atom.

***

Li2La3Se2O4: relaxed, PBE-GGA.

Geometry as CIF:
```
data_Li2La3Se2O4
_chemical_formula_sum 'Li4 La6 Se4 O8'
_space_group_name_H-M_alt 'I 4/m m m'
_space_group_IT_number 139
_space_group_name_Hall '-I 4 2'
_cell_length_a 4.024
_cell_length_b 4.024
_cell_length_c 22.039
_cell_angle_alpha 90.00
_cell_angle_beta 90.00
_cell_angle_gamma 90.00
loop_
_atom_site_label
_atom_site_fract_x
_atom_site_fract_y
_atom_site_fract_z
_atom_site_occupancy
Li1 0.000 0.000 0.080 1
La1 0.000 0.000 0.353 1
La2 0.000 0.000 0.500 1
Se1 0.000 0.000 0.204 1
O1 0.000 0.500 0.074 1
```

Computed properties:
The value obtained for the uncorrected formation energy is -2.428 eV per atom.